Entry 1:
## Y3Se2O (PBE)

Data for an optimized crystal structure of Y3Se2O.

The space group is Cmc2_1 (No. 36) and the conventional cell measures 13.835, 7.807 and 5.589 Å, with angles of 90.00, 90.00 and 90.00 degrees. The distinct sites, in fractional coordinates, are Y at (0.000, 0.117, 0.000), Y at (0.151, 0.263, 0.500), Se at (0.154, 0.361, 0.000) and O at (0.000, 0.169, 0.499).

***

Entry 2:
## YSeO3 (PBE)

Data for an optimized crystal structure of YSeO3.

The space group is Pm-3m (No. 221) and the conventional cell measures 4.021, 4.021 and 4.021 Å, with angles of 90.00, 90.00 and 90.00 degrees. The distinct sites, in fractional coordinates, are Y at (0.000, 0.000, 0.000), Se at (0.500, 0.500, 0.500) and O at (0.000, 0.500, 0.500).

***

Entry 3:
## Y4SeO5 (PBE)

Data for an optimized crystal structure of Y4SeO5.

The space group is C2/m (No. 12) and the conventional cell measures 14.762, 3.682 and 6.771 Å, with angles of 90.00, 117.17 and 90.00 degrees. The distinct sites, in fractional coordinates, are Y at (0.000, 0.000, 0.215), Y at (0.221, 0.500, 0.721), Se at (0.000, 0.500, 0.500), O at (0.000, 0.500, 0.000), O at (0.168, 0.000, 0.441) and O at (0.169, 0.000, 0.894).

***

Entry 4:
## Y3Se3O (PBE)

Data for an optimized crystal structure of Y3Se3O.

The space group is Cmcm (No. 63) and the conventional cell measures 8.787, 15.193 and 5.719 Å, with angles of 90.00, 90.00 and 90.00 degrees. The distinct sites, in fractional coordinates, are Y at (0.000, 0.190, 0.250), Y at (0.215, 0.405, 0.250), Se at (0.000, 0.181, 0.750), Se at (0.227, 0.409, 0.750) and O at (0.000, 0.333, 0.250).

***

Entry 5:
## YSeO (PBE)

Data for an optimized crystal structure of YSeO.

The space group is Pnma (No. 62) and the conventional cell measures 9.588, 4.726 and 6.670 Å, with angles of 90.00, 90.00 and 90.00 degrees. The distinct sites, in fractional coordinates, are Y at (0.096, 0.250, 0.222), Se at (0.144, 0.750, 0.494) and O at (0.000, 0.000, 0.000).

***

Entry 6:
## YSeO4 (PBE)

Data for an optimized crystal structure of YSeO4.

The space group is I4_1/amd (No. 141, origin choice 2) and the conventional cell measures 7.291, 7.291 and 6.510 Å, with angles of 90.00, 90.00 and 90.00 degrees. The distinct sites, in fractional coordinates, are Y at (0.000, 0.250, 0.375), Se at (0.000, 0.250, 0.875) and O at (0.000, 0.070, 0.684).

***

Entry 7:
## YSe2O5 (PBE)

Data for an optimized crystal structure of YSe2O5.

The space group is Pbcn (No. 60) and the conventional cell measures 7.307, 10.766 and 6.933 Å, with angles of 90.00, 90.00 and 90.00 degrees. The distinct sites, in fractional coordinates, are Y at (0.000, 0.067, 0.250), Se at (0.125, 0.359, 0.028), O at (0.000, 0.430, 0.250), O at (0.158, 0.066, 0.538) and O at (0.178, 0.220, 0.138).

***

Entry 8:
## Y2Se3O12 (PBE)

Data for an optimized crystal structure of Y2Se3O12.

The space group is Pbcn (No. 60) and the conventional cell measures 13.441, 9.719 and 9.800 Å, with angles of 90.00, 90.00 and 90.00 degrees. The distinct sites, in fractional coordinates, are Y at (0.118, 0.249, 0.037), Se at (0.000, 0.466, 0.750), Se at (0.147, 0.105, 0.387), O at (0.033, 0.163, 0.421), O at (0.064, 0.366, 0.855), O at (0.080, 0.437, 0.164), O at (0.150, 0.065, 0.904), O at (0.178, 0.144, 0.227) and O at (0.226, 0.178, 0.497).

Its offset from the most stable computed form is 0.0 kJ per mole of atoms.

***

| no. | formation energy from raw total energies (eV/atom) | total energy (eV per atom) |
| --- | --- | --- |
| 1 | -1.91 | -7.128 |
| 2 | -1.19 | -6.156 |
| 3 | -2.97 | -8.382 |
| 4 | -2.10 | -7.072 |
| 5 | -1.78 | -6.745 |
| 6 | -1.79 | -6.759 |
| 7 | -1.48 | -6.255 |
| 8 | -1.58 | -6.452 |